(1)
Density functional theory data (PBE) for PrFeCoSi2 after structural relaxation.

Geometry as CIF:
```
data_PrFeCoSi2
_chemical_formula_sum 'Pr1 Fe1 Co1 Si2'
_symmetry_space_group_name_H-M 'P 1'
_symmetry_Int_Tables_number 1
_cell_length_a 5.682
_cell_length_b 5.682
_cell_length_c 5.682
_cell_angle_alpha 138.98
_cell_angle_beta 138.98
_cell_angle_gamma 59.40
loop_
_symmetry_equiv_pos_as_xyz
'x,y,z'
loop_
_atom_site_label
_atom_site_type_symbol
_atom_site_fract_x
_atom_site_fract_y
_atom_site_fract_z
_atom_site_occupancy
Pr1 Pr 0.000 0.000 0.000 1
Fe1 Fe 0.250 0.750 0.500 1
Co1 Co 0.750 0.250 0.500 1
Si1 Si 0.363 0.363 0.000 1
Si2 Si 0.637 0.637 0.000 1
```

Calculated values
- Calculated volume: 15.648 A^3/atom
- Crystal system: tetragonal
- Electronic total energy: -0.25340 hartree per atom

---

(2)
Density functional theory data (PBE) for FeCoSiPt after structural relaxation.

Geometry as CIF:
```
data_FeCoSiPt
_chemical_formula_sum 'Fe1 Co1 Si1 Pt1'
_symmetry_space_group_name_H-M 'P 1'
_symmetry_Int_Tables_number 1
_cell_length_a 4.130
_cell_length_b 4.130
_cell_length_c 4.130
_cell_angle_alpha 60.00
_cell_angle_beta 60.00
_cell_angle_gamma 60.00
loop_
_symmetry_equiv_pos_as_xyz
'x,y,z'
loop_
_atom_site_label
_atom_site_type_symbol
_atom_site_fract_x
_atom_site_fract_y
_atom_site_fract_z
_atom_site_occupancy
Fe1 Fe 0.000 0.000 0.000 1
Co1 Co 0.250 0.250 0.250 1
Si1 Si 0.750 0.750 0.750 1
Pt1 Pt 0.500 0.500 0.500 1
```

Calculated values
- Calculated volume: 12.456 A^3/atom
- Crystal system: cubic
- Electronic total energy: -0.25528 hartree per atom
- Energy above the most stable polymorph in this dataset: 0.000 eV per atom

---

(3)
Density functional theory data (PBE) for Fe4CoSi2Pt after structural relaxation.

Geometry as CIF:
```
data_Fe4CoSi2Pt
_chemical_formula_sum 'Fe4 Co1 Si2 Pt1'
_symmetry_space_group_name_H-M 'P 1'
_symmetry_Int_Tables_number 1
_cell_length_a 4.043
_cell_length_b 4.043
_cell_length_c 5.769
_cell_angle_alpha 90.00
_cell_angle_beta 90.00
_cell_angle_gamma 90.00
loop_
_symmetry_equiv_pos_as_xyz
'x,y,z'
loop_
_atom_site_label
_atom_site_type_symbol
_atom_site_fract_x
_atom_site_fract_y
_atom_site_fract_z
_atom_site_occupancy
Fe1 Fe 0.000 0.000 0.000 1
Fe2 Fe 0.000 0.500 0.729 1
Fe3 Fe 0.500 0.000 0.271 1
Fe4 Fe 0.500 0.500 0.500 1
Co1 Co 0.000 0.000 0.500 1
Si1 Si 0.000 0.500 0.262 1
Si2 Si 0.500 0.000 0.738 1
Pt1 Pt 0.500 0.500 0.000 1
```

Calculated values
- Calculated volume: 11.788 A^3/atom
- Crystal system: tetragonal
- Electronic total energy: -0.27506 hartree per atom

---

(4)
Density functional theory data (PBE) for FeCoSnPt after structural relaxation.

Geometry as CIF:
```
data_FeCoSnPt
_chemical_formula_sum 'Fe1 Co1 Sn1 Pt1'
_symmetry_space_group_name_H-M 'P 1'
_symmetry_Int_Tables_number 1
_cell_length_a 4.399
_cell_length_b 4.399
_cell_length_c 4.399
_cell_angle_alpha 60.00
_cell_angle_beta 60.00
_cell_angle_gamma 60.00
loop_
_symmetry_equiv_pos_as_xyz
'x,y,z'
loop_
_atom_site_label
_atom_site_type_symbol
_atom_site_fract_x
_atom_site_fract_y
_atom_site_fract_z
_atom_site_occupancy
Fe1 Fe 0.000 0.000 0.000 1
Co1 Co 0.750 0.750 0.750 1
Sn1 Sn 0.500 0.500 0.500 1
Pt1 Pt 0.250 0.250 0.250 1
```

Calculated values
- Calculated volume: 15.048 A^3/atom
- Crystal system: cubic
- Electronic total energy: -0.23551 hartree per atom
- Energy above the most stable polymorph in this dataset: 0.000 eV per atom

---

(5)
Density functional theory data (PBE) for Ta2Zn2FeCoPt2 after structural relaxation.

Geometry as CIF:
```
data_Ta2Zn2FeCoPt2
_chemical_formula_sum 'Ta2 Zn2 Fe1 Co1 Pt2'
_symmetry_space_group_name_H-M 'P 1'
_symmetry_Int_Tables_number 1
_cell_length_a 4.345
_cell_length_b 4.345
_cell_length_c 6.151
_cell_angle_alpha 90.00
_cell_angle_beta 90.00
_cell_angle_gamma 90.00
loop_
_symmetry_equiv_pos_as_xyz
'x,y,z'
loop_
_atom_site_label
_atom_site_type_symbol
_atom_site_fract_x
_atom_site_fract_y
_atom_site_fract_z
_atom_site_occupancy
Ta1 Ta 0.000 0.500 0.248 1
Ta2 Ta 0.500 0.000 0.752 1
Zn1 Zn 0.000 0.500 0.750 1
Zn2 Zn 0.500 0.000 0.250 1
Fe1 Fe 0.000 0.000 0.000 1
Co1 Co 0.500 0.500 0.500 1
Pt1 Pt 0.000 0.000 0.500 1
Pt2 Pt 0.500 0.500 0.000 1
```

Calculated values
- Calculated volume: 14.513 A^3/atom
- Crystal system: tetragonal
- Electronic total energy: -0.25873 hartree per atom
- Energy of formation: -320 meV per atom

---

(6)
Density functional theory data (PBE) for RbFeCoS3 after structural relaxation.

Geometry as CIF:
```
data_RbFeCoS3
_chemical_formula_sum 'Rb2 Fe2 Co2 S6'
_symmetry_space_group_name_H-M 'P 1'
_symmetry_Int_Tables_number 1
_cell_length_a 8.212
_cell_length_b 3.464
_cell_length_c 8.946
_cell_angle_alpha 90.00
_cell_angle_beta 115.41
_cell_angle_gamma 90.00
loop_
_symmetry_equiv_pos_as_xyz
'x,y,z'
loop_
_atom_site_label
_atom_site_type_symbol
_atom_site_fract_x
_atom_site_fract_y
_atom_site_fract_z
_atom_site_occupancy
Rb1 Rb 0.012 0.250 0.260 1
Rb2 Rb 0.988 0.750 0.740 1
Fe1 Fe 0.473 0.250 0.164 1
Fe2 Fe 0.527 0.750 0.836 1
Co1 Co 0.480 0.750 0.392 1
Co2 Co 0.520 0.250 0.608 1
S1 S 0.276 0.750 0.142 1
S2 S 0.345 0.750 0.563 1
S3 S 0.363 0.250 0.877 1
S4 S 0.637 0.750 0.123 1
S5 S 0.655 0.250 0.437 1
S6 S 0.724 0.250 0.858 1
```

Calculated values
- Calculated volume: 19.156 A^3/atom
- Crystal system: monoclinic
- Electronic total energy: -0.19765 hartree per atom
- Energy above the most stable polymorph in this dataset: 0.002 eV per atom

---

(7)
Density functional theory data (PBE) for RbFeCoS3 after structural relaxation.

Geometry as CIF:
```
data_RbFeCoS3
_chemical_formula_sum 'Rb4 Fe4 Co4 S12'
_symmetry_space_group_name_H-M 'P 1'
_symmetry_Int_Tables_number 1
_cell_length_a 14.855
_cell_length_b 3.463
_cell_length_c 8.971
_cell_angle_alpha 90.00
_cell_angle_beta 90.00
_cell_angle_gamma 90.00
loop_
_symmetry_equiv_pos_as_xyz
'x,y,z'
loop_
_atom_site_label
_atom_site_type_symbol
_atom_site_fract_x
_atom_site_fract_y
_atom_site_fract_z
_atom_site_occupancy
Rb1 Rb 0.244 0.250 0.047 1
Rb2 Rb 0.256 0.750 0.547 1
Rb3 Rb 0.744 0.250 0.453 1
Rb4 Rb 0.756 0.750 0.953 1
Fe1 Fe 0.014 0.250 0.326 1
Fe2 Fe 0.486 0.750 0.826 1
Fe3 Fe 0.514 0.250 0.174 1
Fe4 Fe 0.986 0.750 0.674 1
Co1 Co 0.011 0.750 0.100 1
Co2 Co 0.489 0.250 0.600 1
Co3 Co 0.511 0.750 0.400 1
Co4 Co 0.989 0.250 0.900 1
S1 S 0.068 0.250 0.569 1
S2 S 0.077 0.750 0.875 1
S3 S 0.113 0.750 0.269 1
S4 S 0.387 0.250 0.769 1
S5 S 0.423 0.250 0.375 1
S6 S 0.432 0.750 0.069 1
S7 S 0.568 0.250 0.931 1
S8 S 0.577 0.750 0.625 1
S9 S 0.613 0.750 0.231 1
S10 S 0.887 0.250 0.731 1
S11 S 0.923 0.250 0.125 1
S12 S 0.932 0.750 0.431 1
```

Calculated values
- Calculated volume: 19.227 A^3/atom
- Crystal system: orthorhombic
- Electronic total energy: -0.19773 hartree per atom
- Energy above the most stable polymorph in this dataset: 0.000 eV per atom

---

(8)
Density functional theory data (PBE) for FeCoRe2 after structural relaxation.

Geometry as CIF:
```
data_FeCoRe2
_chemical_formula_sum 'Fe1 Co1 Re2'
_symmetry_space_group_name_H-M 'P 1'
_symmetry_Int_Tables_number 1
_cell_length_a 2.631
_cell_length_b 4.186
_cell_length_c 4.511
_cell_angle_alpha 90.00
_cell_angle_beta 90.00
_cell_angle_gamma 90.00
loop_
_symmetry_equiv_pos_as_xyz
'x,y,z'
loop_
_atom_site_label
_atom_site_type_symbol
_atom_site_fract_x
_atom_site_fract_y
_atom_site_fract_z
_atom_site_occupancy
Fe1 Fe 0.000 0.000 0.000 1
Co1 Co 0.000 0.500 0.330 1
Re1 Re 0.500 0.000 0.485 1
Re2 Re 0.500 0.500 0.839 1
```

Calculated values
- Calculated volume: 12.416 A^3/atom
- Crystal system: orthorhombic
- Electronic total energy: -0.37194 hartree per atom
- Energy of formation: -56 meV per atom
- Energy above the most stable polymorph in this dataset: 0.000 eV per atom

---

(9)
Density functional theory data (PBE) for FeCoRe2 after structural relaxation.

Geometry as CIF:
```
data_FeCoRe2
_chemical_formula_sum 'Fe1 Co1 Re2'
_symmetry_space_group_name_H-M 'P 1'
_symmetry_Int_Tables_number 1
_cell_length_a 4.174
_cell_length_b 4.174
_cell_length_c 4.174
_cell_angle_alpha 60.00
_cell_angle_beta 60.00
_cell_angle_gamma 60.00
loop_
_symmetry_equiv_pos_as_xyz
'x,y,z'
loop_
_atom_site_label
_atom_site_type_symbol
_atom_site_fract_x
_atom_site_fract_y
_atom_site_fract_z
_atom_site_occupancy
Fe1 Fe 0.000 0.000 0.000 1
Co1 Co 0.750 0.750 0.750 1
Re1 Re 0.250 0.250 0.250 1
Re2 Re 0.500 0.500 0.500 1
```

Calculated values
- Calculated volume: 12.858 A^3/atom
- Crystal system: cubic
- Electronic total energy: -0.36216 hartree per atom
- Energy of formation: 210 meV per atom
- Energy above the most stable polymorph in this dataset: 0.266 eV per atom

---

(10)
Density functional theory data (PBE) for TlFeCoRe after structural relaxation.

Geometry as CIF:
```
data_TlFeCoRe
_chemical_formula_sum 'Tl1 Fe1 Co1 Re1'
_symmetry_space_group_name_H-M 'P 1'
_symmetry_Int_Tables_number 1
_cell_length_a 4.332
_cell_length_b 4.332
_cell_length_c 4.332
_cell_angle_alpha 60.00
_cell_angle_beta 60.00
_cell_angle_gamma 60.00
loop_
_symmetry_equiv_pos_as_xyz
'x,y,z'
loop_
_atom_site_label
_atom_site_type_symbol
_atom_site_fract_x
_atom_site_fract_y
_atom_site_fract_z
_atom_site_occupancy
Tl1 Tl 0.000 0.000 0.000 1
Fe1 Fe 0.750 0.750 0.750 1
Co1 Co 0.250 0.250 0.250 1
Re1 Re 0.500 0.500 0.500 1
```

Calculated values
- Calculated volume: 14.376 A^3/atom
- Crystal system: cubic
- Electronic total energy: -0.25270 hartree per atom
- Energy above the most stable polymorph in this dataset: 0.000 eV per atom

---

(11)
Density functional theory data (PBE) for FeCo2S4 after structural relaxation.

Geometry as CIF:
```
data_FeCo2S4
_chemical_formula_sum 'Fe4 Co8 S16'
_symmetry_space_group_name_H-M 'P 1'
_symmetry_Int_Tables_number 1
_cell_length_a 6.561
_cell_length_b 6.561
_cell_length_c 9.256
_cell_angle_alpha 90.00
_cell_angle_beta 90.00
_cell_angle_gamma 90.00
loop_
_symmetry_equiv_pos_as_xyz
'x,y,z'
loop_
_atom_site_label
_atom_site_type_symbol
_atom_site_fract_x
_atom_site_fract_y
_atom_site_fract_z
_atom_site_occupancy
Fe1 Fe 0.249 0.249 0.375 1
Fe2 Fe 0.249 0.751 0.125 1
Fe3 Fe 0.751 0.249 0.625 1
Fe4 Fe 0.751 0.751 0.875 1
Co1 Co 0.000 0.251 0.000 1
Co2 Co 0.000 0.749 0.500 1
Co3 Co 0.251 0.000 0.750 1
Co4 Co 0.251 0.500 0.750 1
Co5 Co 0.500 0.251 0.000 1
Co6 Co 0.500 0.749 0.500 1
Co7 Co 0.749 0.000 0.250 1
Co8 Co 0.749 0.500 0.250 1
S1 S 0.014 0.250 0.756 1
S2 S 0.014 0.750 0.744 1
S3 S 0.250 0.014 0.994 1
S4 S 0.250 0.488 0.994 1
S5 S 0.250 0.512 0.506 1
S6 S 0.250 0.986 0.506 1
S7 S 0.488 0.250 0.756 1
S8 S 0.488 0.750 0.744 1
S9 S 0.512 0.250 0.244 1
S10 S 0.512 0.750 0.256 1
S11 S 0.750 0.014 0.006 1
S12 S 0.750 0.488 0.006 1
S13 S 0.750 0.512 0.494 1
S14 S 0.750 0.986 0.494 1
S15 S 0.986 0.250 0.244 1
S16 S 0.986 0.750 0.256 1
```

Calculated values
- Calculated volume: 14.230 A^3/atom
- Crystal system: tetragonal
- Electronic total energy: -0.21952 hartree per atom
- Energy above the most stable polymorph in this dataset: 0.016 eV per atom

---

(12)
Density functional theory data (PBE) for FeCo2S4 after structural relaxation.

Geometry as CIF:
```
data_FeCo2S4
_chemical_formula_sum 'Fe4 Co8 S16'
_symmetry_space_group_name_H-M 'P 1'
_symmetry_Int_Tables_number 1
_cell_length_a 6.578
_cell_length_b 6.578
_cell_length_c 9.266
_cell_angle_alpha 90.00
_cell_angle_beta 90.00
_cell_angle_gamma 90.00
loop_
_symmetry_equiv_pos_as_xyz
'x,y,z'
loop_
_atom_site_label
_atom_site_type_symbol
_atom_site_fract_x
_atom_site_fract_y
_atom_site_fract_z
_atom_site_occupancy
Fe1 Fe 0.000 0.235 0.000 1
Fe2 Fe 0.000 0.765 0.500 1
Fe3 Fe 0.235 0.000 0.750 1
Fe4 Fe 0.765 0.000 0.250 1
Co1 Co 0.241 0.500 0.750 1
Co2 Co 0.261 0.261 0.375 1
Co3 Co 0.261 0.739 0.125 1
Co4 Co 0.500 0.241 0.000 1
Co5 Co 0.500 0.759 0.500 1
Co6 Co 0.739 0.261 0.625 1
Co7 Co 0.739 0.739 0.875 1
Co8 Co 0.759 0.500 0.250 1
S1 S 0.004 0.252 0.754 1
S2 S 0.004 0.748 0.746 1
S3 S 0.249 0.477 0.992 1
S4 S 0.249 0.523 0.508 1
S5 S 0.252 0.004 0.996 1
S6 S 0.252 0.996 0.504 1
S7 S 0.477 0.249 0.758 1
S8 S 0.477 0.751 0.742 1
S9 S 0.523 0.249 0.242 1
S10 S 0.523 0.751 0.258 1
S11 S 0.748 0.004 0.004 1
S12 S 0.748 0.996 0.496 1
S13 S 0.751 0.477 0.008 1
S14 S 0.751 0.523 0.492 1
S15 S 0.996 0.252 0.246 1
S16 S 0.996 0.748 0.254 1
```

Calculated values
- Calculated volume: 14.318 A^3/atom
- Crystal system: tetragonal
- Electronic total energy: -0.22010 hartree per atom
- Energy above the most stable polymorph in this dataset: 0.000 eV per atom

---

Question: What is the electronic total energy in the eighth record?
Answer: -0.37194 hartree per atom